Record 1
First-principles (PBE) data for a geometry-optimized CsKNaIn structure, as listed in Alexandria via LeMat-Bulk.

Output
As for the space-group type: F-43m (216). The calculation puts the spin magnetization at 0.722 μB per cell.

a = 6.368 Å, b = 6.368 Å, c = 6.368 Å
α = 60.00°, β = 60.00°, γ = 60.00°
Last column: magnetic moment on the atom in μB.
Sites, in units of the cell vectors:
Cs1 0.250 0.250 0.250  0.02
Na1 0.000 0.000 0.000  0.00
K1 0.500 0.500 0.500  0.01
In1 0.750 0.750 0.750  0.12

Record 2
First-principles (PBE) data for a geometry-optimized CsK2NaIn structure, as listed in Alexandria via LeMat-Bulk.

Output
As for the space-group type: P4/mmm (123). Its distance to the lowest polymorph of the same formula is 0.0 kJ per mole of atoms. The calculation puts the spin magnetization at 0.000 μB per cell.

a = 6.996 Å, b = 6.996 Å, c = 6.309 Å
α = 90.00°, β = 90.00°, γ = 90.00°
Sites, in units of the cell vectors:
Cs1 0.500 0.500 0.500
Na1 0.000 0.000 0.500
K1 0.000 0.500 0.000
K2 0.500 0.000 0.000
In1 0.000 0.000 0.000

Record 3
First-principles (PBE) data for a geometry-optimized Cs2K4InPb2 structure, as listed in Alexandria via LeMat-Bulk.

Output
As for the space-group type: C2/m (12). The calculation puts the spin magnetization at 0.885 μB per cell.

a = 6.393 Å, b = 9.339 Å, c = 9.339 Å
α = 57.76°, β = 74.09°, γ = 74.09°
Sites, in units of the cell vectors:
Cs1 0.325 0.639 0.639
Cs2 0.675 0.361 0.361
K1 0.167 0.652 0.084
K2 0.833 0.916 0.348
K3 0.833 0.348 0.916
K4 0.167 0.084 0.652
In1 0.500 0.000 0.000
Pb1 0.290 0.183 0.183
Pb2 0.710 0.817 0.817

Record 4
First-principles (PBE) data for a geometry-optimized CsKInPb structure, as listed in Alexandria via LeMat-Bulk.

Output
As for the space-group type: F-43m (216). Its distance to the lowest polymorph of the same formula is 5.6 kJ per mole of atoms. The calculation puts the spin magnetization at 0.000 μB per cell.

a = 6.028 Å, b = 6.028 Å, c = 6.028 Å
α = 60.00°, β = 60.00°, γ = 60.00°
Sites, in units of the cell vectors:
Pb1 0.250 0.250 0.250
Cs1 0.750 0.750 0.750
K1 0.500 0.500 0.500
In1 0.000 0.000 0.000

Record 5
First-principles (PBE) data for a geometry-optimized CsKInPb structure, as listed in Alexandria via LeMat-Bulk.

Output
As for the space-group type: R3m (160). Its distance to the lowest polymorph of the same formula is 0.0 kJ per mole of atoms. The calculation puts the spin magnetization at 0.000 μB per cell.

a = 5.152 Å, b = 5.152 Å, c = 9.731 Å
α = 89.98°, β = 105.36°, γ = 120.01°
Sites, in units of the cell vectors:
Cs1 0.369 0.049 0.417
K1 0.995 0.862 0.857
In1 0.521 0.625 0.146
Pb1 0.807 0.268 0.075

Record 6
First-principles (PBE) data for a geometry-optimized CsKInPd2 structure, as listed in Alexandria via LeMat-Bulk.

Output
As for the space-group type: P4/mmm (123). The calculation puts the spin magnetization at 0.000 μB per cell.

a = 5.490 Å, b = 6.213 Å, c = 5.490 Å
α = 90.00°, β = 90.00°, γ = 90.00°
Sites, in units of the cell vectors:
Cs1 0.000 0.000 0.000
K1 0.000 0.500 0.000
Pd1 0.000 0.000 0.500
Pd2 0.500 0.000 0.000
In1 0.500 0.500 0.500

Energy relative to the elements (computed, kJ/mol of atoms): 7; 4; -9; -4; -9; 83